i.
Below is LuB4Rh4 at its PBEsol-relaxed geometry, with properties calculated at the SCAN level.

The value obtained for the spin magnetization is 0.0 μB/f.u.

The structure belongs to space group I4_1/acd (No. 142, origin choice 2); the cell edges are 7.413, 7.413 and 14.706 Å and the angles 90.00°, 90.00° and 90.00°. The inequivalent atoms are Lu at (0.000, 0.250, 0.125), B at (0.138, 0.080, 0.293) and Rh at (0.116, 0.096, 0.439).

ii.
Below is LuB4Rh4 at its PBEsol-relaxed geometry, with properties calculated at the SCAN level.

The value obtained for the spin magnetization is 0.0 μB/f.u.

The structure belongs to space group Ccce (No. 68, origin choice 2); the cell edges are 7.384, 22.114 and 7.420 Å and the angles 90.00°, 90.00° and 90.00°. The inequivalent atoms are Lu at (0.000, 0.082, 0.250), Lu at (0.000, 0.250, 0.750), B at (0.137, 0.140, 0.580), B at (0.147, 0.198, 0.418), B at (0.168, 0.029, 0.887), Rh at (0.118, 0.042, 0.594), Rh at (0.147, 0.206, 0.129) and Rh at (0.154, 0.124, 0.866).

The winner here is ii, beating the second structure by 5 meV/atom.

i.
Below is MgBSe2 at its PBEsol-relaxed geometry, with properties calculated at the SCAN level.

The value obtained for the spin magnetization is 0.0 μB/f.u.

The structure belongs to space group R-3m (No. 166, hexagonal axes); the cell edges are 4.0198, 4.0198 and 19.5881 Å and the angles 90.00°, 90.00° and 120.00°. The inequivalent atoms are Mg at (0.0000, 0.0000, 0.0000), B at (0.0000, 0.0000, 0.5000) and Se at (0.0000, 0.0000, 0.4056).

ii.
Below is MgBSe2 at its PBEsol-relaxed geometry, with properties calculated at the SCAN level.

The value obtained for the spin magnetization is 0.7 μB/f.u.

The structure belongs to space group I-42d (No. 122); the cell edges are 5.769, 5.769 and 9.292 Å and the angles 90.00°, 90.00° and 90.00°. The inequivalent atoms are Mg at (0.000, 0.000, 0.000), B at (0.000, 0.000, 0.500) and Se at (0.174, 0.250, 0.625).

The winner here is i, beating the second structure by 42 meV/atom.

i.
Below is MgSi2B at its PBEsol-relaxed geometry, with properties calculated at the SCAN level.

The value obtained for the spin magnetization is 0.0 μB/f.u.

The structure belongs to space group I-42d (No. 122); the cell edges are 6.707, 6.707 and 4.865 Å and the angles 90.00°, 90.00° and 90.00°. The inequivalent atoms are Mg at (0.000, 0.000, 0.000), Si at (0.165, 0.250, 0.625) and B at (0.000, 0.000, 0.500).

ii.
Below is MgSi2B at its PBEsol-relaxed geometry, with properties calculated at the SCAN level.

The value obtained for the spin magnetization is 0.0 μB/f.u.

The structure belongs to space group Fm-3m (No. 225); the cell edges are 6.072, 6.072 and 6.072 Å and the angles 90.00°, 90.00° and 90.00°. The inequivalent atoms are Mg at (0.000, 0.000, 0.000), Si at (0.250, 0.250, 0.250) and B at (0.000, 0.000, 0.500).

The winner here is i, beating the second structure by 883 meV/atom.

i.
Below is Mg2SnB at its PBEsol-relaxed geometry, with properties calculated at the SCAN level.

The value obtained for the spin magnetization is 0.0 μB/f.u.

The structure belongs to space group I-42d (No. 122); the cell edges are 4.305, 4.305 and 17.069 Å and the angles 90.00°, 90.00° and 90.00°. The inequivalent atoms are Mg at (0.200, 0.250, 0.125), Sn at (0.000, 0.000, 0.500) and B at (0.000, 0.000, 0.000).

ii.
Below is Mg2SnB at its PBEsol-relaxed geometry, with properties calculated at the SCAN level.

The value obtained for the spin magnetization is 0.0 μB/f.u.

The structure belongs to space group Fm-3m (No. 225); the cell edges are 6.626, 6.626 and 6.626 Å and the angles 90.00°, 90.00° and 90.00°. The inequivalent atoms are Mg at (0.250, 0.250, 0.250), Sn at (0.000, 0.000, 0.000) and B at (0.000, 0.000, 0.500).

The winner here is ii, beating the second structure by 123 meV/atom.

i.
Below is MnB4O7 at its PBEsol-relaxed geometry, with properties calculated at the SCAN level.

The value obtained for the spin magnetization is 5.0 μB/f.u.

The structure belongs to space group Cmcm (No. 63); the cell edges are 10.874, 6.631 and 5.187 Å and the angles 90.00°, 90.00° and 90.00°. The inequivalent atoms are Mn at (0.000, 0.224, 0.250), B at (0.119, 0.200, 0.750), B at (0.206, 0.500, 0.000), O at (0.000, 0.094, 0.750), O at (0.132, 0.321, 0.523) and O at (0.216, 0.025, 0.750).

ii.
Below is MnB4O7 at its PBEsol-relaxed geometry, with properties calculated at the SCAN level.

The value obtained for the spin magnetization is 5.0 μB/f.u.

The structure belongs to space group Pbca (No. 61); the cell edges are 8.103, 8.645 and 14.036 Å and the angles 90.00°, 90.00° and 90.00°. The inequivalent atoms are Mn at (0.117, 0.108, 0.113), B at (0.010, 0.568, 0.163), B at (0.034, 0.168, 0.765), B at (0.063, 0.707, 0.567), B at (0.186, 0.134, 0.463), O at (0.012, 0.606, 0.648), O at (0.033, 0.173, 0.252), O at (0.080, 0.077, 0.692), O at (0.085, 0.244, 0.993), O at (0.134, 0.652, 0.105), O at (0.142, 0.044, 0.390) and O at (0.167, 0.608, 0.509).

The winner here is ii, beating the second structure by 22 meV/atom.

i.
Below is BMo at its PBEsol-relaxed geometry, with properties calculated at the SCAN level.

The value obtained for the spin magnetization is 0.0 μB/f.u.

The structure belongs to space group Cmcm (No. 63); the cell edges are 3.133, 8.449 and 3.070 Å and the angles 90.00°, 90.00° and 90.00°. The inequivalent atoms are B at (0.000, 0.060, 0.250) and Mo at (0.000, 0.356, 0.250).

ii.
Below is BMo at its PBEsol-relaxed geometry, with properties calculated at the SCAN level.

The value obtained for the spin magnetization is 0.0 μB/f.u.

The structure belongs to space group I4_1/amd (No. 141, origin choice 2); the cell edges are 3.101, 3.101 and 16.890 Å and the angles 90.00°, 90.00° and 90.00°. The inequivalent atoms are B at (0.000, 0.250, 0.030) and Mo at (0.000, 0.250, 0.178).

The winner here is ii, beating the second structure by 11 meV/atom.

i.
Below is NiBSN2 at its PBEsol-relaxed geometry, with properties calculated at the SCAN level.

The value obtained for the spin magnetization is 1.0 μB/f.u.

The structure belongs to space group P4/mmm (No. 123); the cell edges are 3.047, 3.047 and 6.725 Å and the angles 90.00°, 90.00° and 90.00°. The inequivalent atoms are Ni at (0.000, 0.000, 0.000), B at (0.500, 0.500, 0.500), S at (0.500, 0.500, 0.000) and N at (0.000, 0.500, 0.500).

ii.
Below is NiBSN2 at its PBEsol-relaxed geometry, with properties calculated at the SCAN level.

The value obtained for the spin magnetization is 0.0 μB/f.u.

The structure belongs to space group P4/mmm (No. 123); the cell edges are 3.340, 3.340 and 7.169 Å and the angles 90.00°, 90.00° and 90.00°. The inequivalent atoms are Ni at (0.000, 0.000, 0.000), B at (0.500, 0.500, 0.500), S at (0.000, 0.000, 0.500) and N at (0.000, 0.500, 0.000).

The winner here is i, beating the second structure by 925 meV/atom.

i.
Below is BSeSN2 at its PBEsol-relaxed geometry, with properties calculated at the SCAN level.

The value obtained for the spin magnetization is 0.0 μB/f.u.

The structure belongs to space group P4/mmm (No. 123); the cell edges are 3.500, 3.500 and 6.128 Å and the angles 90.00°, 90.00° and 90.00°. The inequivalent atoms are B at (0.000, 0.000, 0.000), Se at (0.500, 0.500, 0.500), S at (0.500, 0.500, 0.000) and N at (0.000, 0.500, 0.500).

ii.
Below is BSeSN2 at its PBEsol-relaxed geometry, with properties calculated at the SCAN level.

The value obtained for the spin magnetization is 0.0 μB/f.u.

The structure belongs to space group P4/mmm (No. 123); the cell edges are 3.252, 3.252 and 6.733 Å and the angles 90.00°, 90.00° and 90.00°. The inequivalent atoms are B at (0.000, 0.000, 0.000), Se at (0.500, 0.500, 0.000), S at (0.500, 0.500, 0.500) and N at (0.000, 0.500, 0.500).

The winner here is ii, beating the second structure by 468 meV/atom.